Computed, not measured: crystalline Nb2HgMo at its relaxed geometry at the GGA-PBE level of DFT.

Results
Space-group type: No. 122
Raw total energy in eV/cell: -114.04

a = 7.4548 Å, b = 7.4548 Å, c = 5.6640 Å
α = 90.00°, β = 90.00°, γ = 90.00°
Fractional coordinates of all 16 atoms:
Nb (0.2190, 0.2500, 0.1250)
Nb (0.2500, 0.7190, 0.3750)
Nb (0.2500, 0.7810, 0.8750)
Nb (0.2810, 0.2500, 0.6250)
Nb (0.7190, 0.7500, 0.6250)
Nb (0.7500, 0.2190, 0.8750)
Nb (0.7500, 0.2810, 0.3750)
Nb (0.7810, 0.7500, 0.1250)
Hg (0.0000, 0.0000, 0.5000)
Hg (0.0000, 0.5000, 0.7500)
Hg (0.5000, 0.0000, 0.2500)
Hg (0.5000, 0.5000, 0.0000)
Mo (0.0000, 0.0000, 0.0000)
Mo (0.0000, 0.5000, 0.2500)
Mo (0.5000, 0.0000, 0.7500)
Mo (0.5000, 0.5000, 0.5000)